No. 1
Material: Ac4SnRhI2
Method: DFT, GGA-PBE
State: relaxed

Cell: 4.5102 8.3227 8.7810 Å, 106.38 90.00 90.00°
Fractional coordinates of all 8 atoms:
I: 0.5000 0.0000 0.5000
I: 0.0000 0.5000 0.5000
Ac: 0.5000 0.7350 0.8036
Ac: 0.0000 0.7080 0.1894
Ac: 0.0000 0.2920 0.8106
Ac: 0.5000 0.2650 0.1964
Sn: 0.0000 0.0000 0.0000
Rh: 0.5000 0.5000 0.0000

## Properties
- space group = No. 10
- raw formation energy (eV/atom) = -0.913
- total magnetization (μB/f.u.) = 0.000
- DFT total energy (eV/atom) = -4.77
- crystal system = monoclinic



No. 2
Material: Ac8SnRh3I4
Method: DFT, GGA-PBE
State: relaxed

Cell: 9.0713 10.0169 9.0716 Å, 116.93 120.00 90.00°
Fractional coordinates of all 16 atoms:
Ac: 0.2418 0.6878 0.9461
Ac: 0.7043 0.6878 0.9461
Ac: 0.7302 0.6903 0.4603
Ac: 0.2417 0.6878 0.4835
Ac: 0.2957 0.3122 0.0539
Ac: 0.7582 0.3122 0.0539
Ac: 0.2698 0.3097 0.5397
Ac: 0.7583 0.3122 0.5165
Rh: 0.5000 0.5000 0.5000
Rh: 0.0000 0.5000 0.5000
Rh: 0.5000 0.5000 0.0000
I: 0.5000 0.0000 0.5000
I: 0.0000 0.0000 0.5000
I: 0.5000 0.0000 0.0000
I: 0.0000 0.0000 0.0000
Sn: 0.0000 0.5000 0.0000

## Properties
- space group = No. 166
- raw formation energy (eV/atom) = -0.936
- total magnetization (μB/f.u.) = 0.001
- DFT total energy (eV/atom) = -5.01
- crystal system = trigonal



No. 3
Material: SrAcRhI
Method: DFT, GGA-PBE
State: relaxed

Cell: 4.3516 4.3521 8.9345 Å, 90.01 104.09 120.00°
Fractional coordinates of all 4 atoms:
Rh: 0.3127 0.5543 0.8824
Sr: 0.5031 0.1494 0.6678
I: 0.9709 0.3835 0.3691
Ac: 0.0913 0.9436 0.0504

## Properties
- space group = No. 160
- raw formation energy (eV/atom) = -0.904
- total magnetization (μB/f.u.) = 0.000
- DFT total energy (eV/atom) = -4.58
- crystal system = trigonal